1.
Here is a relaxed Y3CF crystal from the Alexandria database. Energies are from PBE.

POSCAR file:
```
Y3CF
1.0
4.8993 0.0000 0.0000
0.0000 4.8993 0.0000
0.0000 0.0000 4.8993
Y C F
3 1 1
direct
0.0000 0.0000 0.5000
0.0000 0.5000 0.0000
0.5000 0.0000 0.0000
0.0000 0.0000 0.0000
0.5000 0.5000 0.5000
```

## Properties
**Energy above the most stable polymorph in this dataset**: 0.000 eV per atom

***

2.
Here is a relaxed Y2C2F crystal from the Alexandria database. Energies are from PBE.

POSCAR file:
```
Y2C2F
1.0
6.3580 -2.1364 0.0000
6.3580 2.1364 0.0000
-2.0503 0.0000 6.0111
Y C F
4 4 2
direct
0.0327 0.6797 0.8888
0.3203 0.9673 0.6112
0.6797 0.0327 0.3888
0.9673 0.3203 0.1112
0.1575 0.4041 0.4854
0.4041 0.1575 0.9854
0.5959 0.8425 0.0146
0.8425 0.5959 0.5146
0.0431 0.9569 0.2500
0.9569 0.0431 0.7500
```

***

3.
Here is a relaxed YCF2 crystal from the Alexandria database. Energies are from PBE.

POSCAR file:
```
YCF2
1.0
3.8807 0.0000 0.0000
-1.9403 3.3608 0.0000
0.0000 0.0000 13.3842
Y C F
3 3 6
direct
0.0000 0.0000 0.0000
0.3333 0.6667 0.6667
0.6667 0.3333 0.3333
0.0000 0.0000 0.5000
0.3333 0.6667 0.1667
0.6667 0.3333 0.8333
0.0000 0.0000 0.2889
0.0000 0.0000 0.7111
0.3333 0.6667 0.3778
0.3333 0.6667 0.9555
0.6667 0.3333 0.0445
0.6667 0.3333 0.6222
```

## Properties
**Energy above the most stable polymorph in this dataset**: 0.000 eV per atom

***

4.
Here is a relaxed YCF2 crystal from the Alexandria database. Energies are from PBE.

POSCAR file:
```
YCF2
1.0
3.7265 0.0000 0.0000
0.0000 3.7265 0.0000
0.0000 0.0000 15.3553
Y C F
4 4 8
direct
0.0000 0.0000 0.0000
0.0000 0.5000 0.2500
0.5000 0.0000 0.7500
0.5000 0.5000 0.5000
0.0000 0.0000 0.5000
0.0000 0.5000 0.7500
0.5000 0.0000 0.2500
0.5000 0.5000 0.0000
0.2329 0.2500 0.1250
0.2500 0.7329 0.3750
0.2500 0.7671 0.8750
0.2671 0.2500 0.6250
0.7329 0.7500 0.6250
0.7500 0.2329 0.8750
0.7500 0.2671 0.3750
0.7671 0.7500 0.1250
```

## Properties
**Energy above the most stable polymorph in this dataset**: 0.002 eV per atom

***

5.
Here is a relaxed YCF2 crystal from the Alexandria database. Energies are from PBE.

POSCAR file:
```
YCF2
1.0
5.8234 0.0000 0.0000
0.0000 5.8234 0.0000
0.0000 0.0000 5.8234
Y C F
4 4 8
direct
0.0000 0.0000 0.0000
0.0000 0.5000 0.5000
0.5000 0.0000 0.5000
0.5000 0.5000 0.0000
0.0000 0.0000 0.5000
0.0000 0.5000 0.0000
0.5000 0.0000 0.0000
0.5000 0.5000 0.5000
0.2500 0.2500 0.2500
0.2500 0.2500 0.7500
0.2500 0.7500 0.2500
0.2500 0.7500 0.7500
0.7500 0.2500 0.2500
0.7500 0.2500 0.7500
0.7500 0.7500 0.2500
0.7500 0.7500 0.7500
```

## Properties
**Energy above the most stable polymorph in this dataset**: 0.080 eV per atom

***

6.
Here is a relaxed YC3F crystal from the Alexandria database. Energies are from PBE.

POSCAR file:
```
YC3F
1.0
3.8772 0.0000 0.0000
0.0000 3.8772 0.0000
0.0000 0.0000 3.8772
Y C F
1 3 1
direct
0.0000 0.0000 0.0000
0.0000 0.5000 0.5000
0.5000 0.0000 0.5000
0.5000 0.5000 0.0000
0.5000 0.5000 0.5000
```

## Properties
**Energy above the most stable polymorph in this dataset**: 0.000 eV per atom

***

7.
Here is a relaxed YC3F crystal from the Alexandria database. Energies are from PBE.

POSCAR file:
```
YC3F
1.0
4.6803 0.0000 0.0000
0.0000 4.6803 0.0000
0.0000 0.0000 4.6803
Y C F
1 3 1
direct
0.0000 0.0000 0.0000
0.0000 0.0000 0.5000
0.0000 0.5000 0.0000
0.5000 0.0000 0.0000
0.5000 0.5000 0.5000
```

## Properties
**Energy above the most stable polymorph in this dataset**: 0.848 eV per atom

***

8.
Here is a relaxed ZnCF2 crystal from the Alexandria database. Energies are from PBE.

POSCAR file:
```
ZnCF2
1.0
2.8796 0.0000 0.0000
-1.4398 2.4938 0.0000
0.0000 0.0000 21.8871
Zn C F
3 3 6
direct
0.0000 0.0000 0.0000
0.3333 0.6667 0.6667
0.6667 0.3333 0.3333
0.0000 0.0000 0.5000
0.3333 0.6667 0.1667
0.6667 0.3333 0.8333
0.0000 0.0000 0.1162
0.0000 0.0000 0.8838
0.3333 0.6667 0.5505
0.3333 0.6667 0.7829
0.6667 0.3333 0.2171
0.6667 0.3333 0.4495
```

## Properties
**Energy above the most stable polymorph in this dataset**: 0.309 eV per atom

***

| no. | formation energy without anion corrections (eV/atom) | D(E_F) (states/eV per cell) | VASP energy (eV/atom) |
| --- | --- | --- | --- |
| 1 | -0.4107 | 5.0 | -6.508 |
| 2 | -1.2868 | 1.8 | -7.936 |
| 3 | -1.2461 | 0.0 | -6.104 |
| 4 | -1.2441 | 5.8 | -6.102 |
| 5 | -1.1666 | 0.0 | -6.024 |
| 6 | 2.0060 | 3.5 | -5.195 |
| 7 | 2.8544 | 4.7 | -4.347 |
| 8 | 0.5467 | 2.8 | -3.013 |